# 1
PBE Tb3Zn2Hg4, optimized geometry; ΔE_f = -0.413 eV per atom; electronic total energy = -21.33 eV for the cell shown; space group = No. 12
1.0
-0.793 4.224 4.097
-2.037 -0.147 5.575
8.487 -2.727 -0.924
Hg Tb Zn
4 3 2
direct
0.710 0.710 0.057 Hg
0.068 0.068 0.392 Hg
0.932 0.932 0.608 Hg
0.290 0.290 0.943 Hg
0.000 0.000 0.000 Tb
0.337 0.337 0.332 Tb
0.663 0.663 0.668 Tb
0.612 0.612 0.284 Zn
0.388 0.388 0.716 Zn

---

# 2
PBE YAlCoSn, optimized geometry; polymorph energy (0 for the lowest one) = 9 meV per atom; electronic total energy = -46.82 eV for the cell shown; space group = No. 12
1.0
5.235 -2.063 0.000
5.235 2.063 0.000
-0.023 0.000 7.068
Al Co Sn Y
2 2 2 2
direct
0.337 0.337 0.051 Al
0.663 0.663 0.949 Al
0.786 0.786 0.242 Co
0.214 0.214 0.758 Co
0.356 0.356 0.446 Sn
0.644 0.644 0.554 Sn
0.064 0.064 0.234 Y
0.936 0.936 0.766 Y

---

# 3
PBE LiAgPdW, optimized geometry; polymorph energy (0 for the lowest one) = 0 meV per atom; electronic total energy = -21.36 eV for the cell shown; space group = No. 216
1.0
0.000 3.139 3.139
3.139 0.000 3.139
3.139 3.139 0.000
Ag Li Pd W
1 1 1 1
direct
0.000 0.000 0.000 Ag
0.750 0.750 0.750 Li
0.500 0.500 0.500 Pd
0.250 0.250 0.250 W

---

# 4
PBE TbDySi2Os, optimized geometry; polymorph energy (0 for the lowest one) = 0 meV per atom; electronic total energy = -70.53 eV for the cell shown; space group = No. 12
1.0
0.700 3.927 4.158
-1.022 0.372 5.658
8.154 -5.138 -2.817
Dy Os Si Tb
2 2 4 2
direct
0.009 0.009 0.179 Dy
0.991 0.991 0.821 Dy
0.271 0.271 0.126 Os
0.729 0.729 0.874 Os
0.646 0.646 0.061 Si
0.502 0.502 0.375 Si
0.498 0.498 0.625 Si
0.354 0.354 0.939 Si
0.814 0.814 0.389 Tb
0.186 0.186 0.611 Tb

---

# 5
PBE TbHoNi2Pb, optimized geometry; electronic total energy = -26.64 eV for the cell shown; space group = No. 38
1.0
-1.005 2.353 -2.616
2.029 5.647 4.300
5.271 4.683 2.187
Ho Ni Pb Tb
1 2 1 1
direct
0.000 0.359 0.359 Ho
0.500 0.201 0.201 Ni
0.500 0.800 0.800 Ni
0.500 0.000 0.000 Pb
0.000 0.640 0.640 Tb

---

# 6
PBE Pr2AgPd, optimized geometry; ΔE_f = -0.511 eV per atom; electronic total energy = -19.59 eV for the cell shown; space group = No. 38
1.0
-0.383 -4.609 1.208
3.776 0.857 4.465
0.077 1.493 5.718
Ag Pd Pr
1 1 2
direct
0.000 0.419 0.419 Ag
0.500 0.583 0.583 Pd
0.000 0.138 0.138 Pr
0.500 0.860 0.860 Pr

---

Total magnetization (Bohr magnetons per cell)
0.012, 0.001, 0.002, 0.205, 0.000, 0.009
Theoretical density (g/cm³)
11.28, 6.39, 10.87, 9.49, 10.38, 7.82
V (Å³ per atom)
23.1, 19.1, 15.5, 19.9, 20.7, 26.3